[1]
A relaxed structure of BeHg2Te. Source: Alexandria via LeMat-Bulk, functional PBE.

Output
E_form (uncorrected): 337 meV/atom
Energy above the most stable polymorph in this dataset: 370 meV per atom
SG: R-3m (166)

abc: 8.295 8.295 8.295
angles: 24.87 24.87 24.87
Fractional coordinates of all 4 atoms:
Be: 0.000 0.000 0.000
Hg: 0.269 0.269 0.269
Hg: 0.731 0.731 0.731
Te: 0.500 0.500 0.500



[2]
A relaxed structure of Pr3Tl3Cu2. Source: Alexandria via LeMat-Bulk, functional PBE.

Output
Energy of formation: -2.1 eV/f.u.
SG: P-1 (2)

abc: 4.445 5.304 9.294
angles: 79.33 76.18 89.98
Fractional coordinates of all 8 atoms:
Pr: 0.000 0.000 0.000
Pr: 0.160 0.596 0.680
Pr: 0.840 0.404 0.320
Tl: 0.361 0.900 0.279
Tl: 0.500 0.500 0.000
Tl: 0.639 0.100 0.721
Cu: 0.236 0.138 0.528
Cu: 0.764 0.862 0.472



[3]
A relaxed structure of HIrRhW2. Source: Alexandria via LeMat-Bulk, functional PBE.

Output
Energy above the most stable polymorph in this dataset: 0 meV per atom
SG: P4/mmm (123)

abc: 3.964 3.964 3.978
angles: 90.00 90.00 90.00
Fractional coordinates of all 5 atoms:
H: 0.000 0.000 0.000
Ir: 0.500 0.500 0.500
Rh: 0.000 0.000 0.500
W: 0.000 0.500 0.000
W: 0.500 0.000 0.000



[4]
A relaxed structure of ScAlZn2. Source: Alexandria via LeMat-Bulk, functional PBE.

Output
Energy of formation: -0.9 eV/f.u.
SG: Pm (6)

abc: 3.086 4.381 5.313
angles: 90.00 90.13 90.00
Fractional coordinates of all 4 atoms:
Sc: 0.000 0.000 0.000
Al: 0.498 0.500 0.754
Zn: 0.500 0.000 0.496
Zn: 0.502 0.500 0.245



[5]
A relaxed structure of YMo2P. Source: Alexandria via LeMat-Bulk, functional PBE.

Output
Energy of formation: -0.9 eV/f.u.
SG: P4mm (99)

abc: 3.236 3.236 6.888
angles: 90.00 90.00 90.00
Fractional coordinates of all 4 atoms:
Y: 0.000 0.000 0.000
Mo: 0.000 0.000 0.475
Mo: 0.500 0.500 0.687
P: 0.500 0.500 0.299



[6]
A relaxed structure of Cd2SiAu8. Source: Alexandria via LeMat-Bulk, functional PBE.

Output
E_form (uncorrected): -48 meV/atom
SG: C2/m (12)

abc: 8.831 8.831 5.901
angles: 100.89 100.89 27.73
Fractional coordinates of all 11 atoms:
Cd: 0.196 0.196 0.110
Cd: 0.804 0.804 0.890
Si: 0.500 0.500 0.500
Au: 0.003 0.003 0.759
Au: 0.209 0.209 0.614
Au: 0.377 0.377 0.183
Au: 0.384 0.384 0.694
Au: 0.616 0.616 0.306
Au: 0.623 0.623 0.817
Au: 0.791 0.791 0.386
Au: 0.997 0.997 0.241